6
Lattice="2.864 0.000 0.000 0.000 2.864 0.000 0.000 0.000 12.517" Properties=species:S:1:pos:R:3 comment="CdPtW (GGA-PBE, relaxed)" dft_energy_ev_per_atom=-6.574 e_above_lowest_polymorph_kj_per_mol_fu=17 pbc="T T T"
Cd 0.000 0.000 0.000
Cd 1.432 1.432 6.259
Pt 0.000 0.000 4.047
Pt 1.432 1.432 10.306
W 0.000 0.000 8.491
W 1.432 1.432 2.232